# BaTlCrF6 | the Alexandria database | PBE+U | relaxed
# Total moment ... 3.00 μB/f.u.
# DFT total energy ... -5.454 eV/atom
# Mass density ... 4.85 Mg/m³
data_BaTlCrF6
_chemical_formula_sum 'Ba1 Tl1 Cr1 F6'
_cell_length_a 6.1894
_cell_length_b 6.1894
_cell_length_c 5.2364
_cell_angle_alpha 90.00
_cell_angle_beta 90.00
_cell_angle_gamma 120.00
_space_group_name_H-M_alt 'P 3 1 2'
_space_group_IT_number 149
loop_
_space_group_symop_operation_xyz
'x,y,z'
'-y,x-y,z'
'-x+y,-x,z'
'-y,-x,-z'
'-x+y,y,-z'
'x,x-y,-z'
loop_
_atom_site_label
_atom_site_fract_x
_atom_site_fract_y
_atom_site_fract_z
_atom_site_occupancy
Ba1 0.0000 0.0000 0.0000 1
Tl1 0.3333 0.6667 0.5000 1
Cr1 0.6667 0.3333 0.5000 1
F1 0.3953 0.0870 0.7172 1